Below is a relaxed structure of Ba2LiCrAs, with properties calculated at the PBE-GGA level.

The value obtained for the density of states at the Fermi level is 4.2 states/eV/cell. The total DFT energy (no corrections) is -3.6527 eV/atom. For the energy of formation from the pure elements, the calculation gives 354 meV per atom.

It has space group P4/mmm (No. 123), with a = 5.955 Å, b = 5.955 Å, c = 4.755 Å, α = 90.00°, β = 90.00° and γ = 90.00°. Symmetry generates all atoms from Ba at (0.000, 0.500, 0.000), Li at (0.000, 0.000, 0.000), Cr at (0.000, 0.000, 0.500) and As at (0.500, 0.500, 0.500).

=====

Below is a relaxed structure of BaNaCrAs2, with properties calculated at the PBE-GGA level.

The value obtained for the density of states at the Fermi level is 3.5 states/eV/cell. The total DFT energy (no corrections) is -4.6270 eV/atom. For the energy of formation from the pure elements, the calculation gives -194 meV per atom.

It has space group P4/mmm (No. 123), with a = 4.930 Å, b = 4.930 Å, c = 5.235 Å, α = 90.00°, β = 90.00° and γ = 90.00°. Symmetry generates all atoms from Ba at (0.000, 0.000, 0.000), Na at (0.500, 0.500, 0.000), Cr at (0.500, 0.500, 0.500) and As at (0.000, 0.500, 0.500).

=====

Below is a relaxed structure of BaNbCr2As, with properties calculated at the PBE-GGA level.

The value obtained for the density of states at the Fermi level is 3.5 states/eV/cell. The total DFT energy (no corrections) is -6.6648 eV/atom. For the energy of formation from the pure elements, the calculation gives 513 meV per atom.

It has space group P4/mmm (No. 123), with a = 5.037 Å, b = 5.037 Å, c = 5.116 Å, α = 90.00°, β = 90.00° and γ = 90.00°. Symmetry generates all atoms from Ba at (0.000, 0.000, 0.000), Nb at (0.500, 0.500, 0.500), Cr at (0.000, 0.500, 0.500) and As at (0.500, 0.500, 0.000).